No. 1
# Si2AgPt | Alexandria | PBE | optimized geometry
# excess energy over the best structure of this formula in the dataset: 1.00 eV/f.u.
# E_tot: -19.231 eV for the cell shown
# size of the total moment: 0.00 μB per cell
# space-group type: I-4m2, No. 119
# volume: 62.3 Å³ per cell
# formation energy without anion corrections: 0.127 eV/atom
data_Si2AgPt
_chemical_formula_sum 'Si2 Ag1 Pt1'
_space_group_name_H-M_alt 'P 1'
_space_group_IT_number 1
_cell_length_a 4.9126
_cell_length_b 4.9126
_cell_length_c 4.9126
_cell_angle_alpha 132.96
_cell_angle_beta 132.96
_cell_angle_gamma 68.72
loop_
_space_group_symop_operation_xyz
'x,y,z'
loop_
_atom_site_label
_atom_site_fract_x
_atom_site_fract_y
_atom_site_fract_z
Pt1 0.7500 0.2500 0.5000
Si1 0.2500 0.7500 0.5000
Si2 0.0000 0.0000 0.0000
Ag1 0.5000 0.5000 0.0000


No. 2
# SrCa2Dy | Alexandria | PBE | optimized geometry
# formation enthalpy at 0 K: 0.12 eV per atom
# excess energy over the best structure of this formula in the dataset: 0.06 eV/f.u.
# E_tot: -9.802 eV for the cell shown
# size of the total moment: 0.88 μB per cell
# space-group type: R3m, No. 160
# volume: 164.6 Å³ per cell
data_SrCa2Dy
_chemical_formula_sum 'Sr1 Ca2 Dy1'
_space_group_name_H-M_alt 'P 1'
_space_group_IT_number 1
_cell_length_a 3.8522
_cell_length_b 3.8522
_cell_length_c 13.0014
_cell_angle_alpha 81.48
_cell_angle_beta 81.48
_cell_angle_gamma 60.00
loop_
_space_group_symop_operation_xyz
'x,y,z'
loop_
_atom_site_label
_atom_site_fract_x
_atom_site_fract_y
_atom_site_fract_z
Dy1 0.6669 0.6669 0.9993
Sr1 0.4998 0.4998 0.5006
Ca1 0.2554 0.2554 0.2337
Ca2 0.0779 0.0779 0.7663


No. 3
# Zr2NiAg | Alexandria | PBE | optimized geometry
# formation enthalpy at 0 K: 0.00 eV per atom
# E_tot: -25.723 eV for the cell shown
# size of the total moment: 0.00 μB per cell
# space-group type: I-4m2, No. 119
# volume: 73.8 Å³ per cell
data_Zr2NiAg
_chemical_formula_sum 'Zr2 Ni1 Ag1'
_space_group_name_H-M_alt 'P 1'
_space_group_IT_number 1
_cell_length_a 5.3853
_cell_length_b 5.3853
_cell_length_c 5.3853
_cell_angle_alpha 136.20
_cell_angle_beta 136.20
_cell_angle_gamma 63.67
loop_
_space_group_symop_operation_xyz
'x,y,z'
loop_
_atom_site_label
_atom_site_fract_x
_atom_site_fract_y
_atom_site_fract_z
Ni1 0.7500 0.2500 0.5000
Zr1 0.2500 0.7500 0.5000
Zr2 0.0000 0.0000 0.0000
Ag1 0.5000 0.5000 0.0000


No. 4
# BeAgMo2 | Alexandria | PBE | optimized geometry
# formation enthalpy at 0 K: 0.56 eV per atom
# E_tot: -25.980 eV for the cell shown
# size of the total moment: 0.00 μB per cell
# space-group type: F-43m, No. 216
# volume: 60.1 Å³ per cell
data_BeAgMo2
_chemical_formula_sum 'Be1 Ag1 Mo2'
_space_group_name_H-M_alt 'P 1'
_space_group_IT_number 1
_cell_length_a 4.3961
_cell_length_b 4.3961
_cell_length_c 4.3961
_cell_angle_alpha 60.00
_cell_angle_beta 60.00
_cell_angle_gamma 60.00
loop_
_space_group_symop_operation_xyz
'x,y,z'
loop_
_atom_site_label
_atom_site_fract_x
_atom_site_fract_y
_atom_site_fract_z
Be1 0.2500 0.2500 0.2500
Ag1 0.5000 0.5000 0.5000
Mo1 0.7500 0.7500 0.7500
Mo2 0.0000 0.0000 0.0000


No. 5
# Sb2AsI3 | Alexandria | PBE | optimized geometry
# E_tot: -36.348 eV for the cell shown
# size of the total moment: 0.00 μB per cell
# space-group type: C2/m, No. 12
# volume: 480.7 Å³ per cell
# formation energy without anion corrections: -0.105 eV/atom
data_Sb2AsI3
_chemical_formula_sum 'Sb4 As2 I6'
_space_group_name_H-M_alt 'P 1'
_space_group_IT_number 1
_cell_length_a 4.4803
_cell_length_b 10.0514
_cell_length_c 11.3090
_cell_angle_alpha 78.84
_cell_angle_beta 78.57
_cell_angle_gamma 77.12
loop_
_space_group_symop_operation_xyz
'x,y,z'
loop_
_atom_site_label
_atom_site_fract_x
_atom_site_fract_y
_atom_site_fract_z
Sb1 0.1298 0.5595 0.1809
I1 0.3346 0.3100 0.0209
I2 0.2337 0.1596 0.3730
As1 0.4241 0.4943 0.6575
I3 0.6654 0.6900 0.9791
Sb2 0.8702 0.4405 0.8191
I4 0.7663 0.8404 0.6270
I5 0.9558 0.8404 0.2479
I6 0.0442 0.1596 0.7521
As2 0.5759 0.5057 0.3425
Sb3 0.3999 0.7216 0.4787
Sb4 0.6001 0.2784 0.5213


No. 6
# Cs2AgRu | Alexandria | PBE | optimized geometry
# formation enthalpy at 0 K: 0.94 eV per atom
# E_tot: -20.121 eV for the cell shown
# size of the total moment: 0.09 μB per cell
# space-group type: I4_1/amd, No. 141
# volume: 364.3 Å³ per cell
data_Cs2AgRu
_chemical_formula_sum 'Cs4 Ag2 Ru2'
_space_group_name_H-M_alt 'P 1'
_space_group_IT_number 1
_cell_length_a 8.6636
_cell_length_b 8.6636
_cell_length_c 8.6636
_cell_angle_alpha 95.51
_cell_angle_beta 95.51
_cell_angle_gamma 143.90
loop_
_space_group_symop_operation_xyz
'x,y,z'
loop_
_atom_site_label
_atom_site_fract_x
_atom_site_fract_y
_atom_site_fract_z
Ag1 0.2500 0.7500 0.5000
Ru1 0.5000 0.5000 0.0000
Ru2 0.7500 0.2500 0.5000
Cs1 0.1250 0.3750 0.7500
Ag2 0.0000 0.0000 0.0000
Cs2 0.6250 0.3750 0.7500
Cs3 0.6250 0.3750 0.2500
Cs4 0.6250 0.8750 0.2500